First-principles (PBE+U) data for a relaxed structure of Rb2BiWF6, as listed in Alexandria.

abc: 6.752 6.752 6.752
angles: 115.69 115.69 97.64
Fractional positions:
Rb  0.250  0.750  0.500
Rb  0.750  0.250  0.500
Bi  0.000  0.000  0.000
W  0.500  0.500  0.000
F  0.261  0.261  0.000
F  0.293  0.293  0.586
F  0.293  0.707  0.000
F  0.707  0.293  0.000
F  0.707  0.707  0.414
F  0.739  0.739  0.000

## Properties
E_tot	-4.67	eV per atom
Fermi-level density of states	0.0	states/eV/f.u.
symmetry	I4/mmm